The following is a PBE calculation of a relaxed PdPtPbBr2 crystal, from Alexandria.

It has space group P4/mmm (No. 123), with a = 4.894 Å, b = 4.894 Å, c = 5.891 Å, α = 90.00°, β = 90.00° and γ = 90.00°. Symmetry generates all atoms from Pd at (0.000, 0.000, 0.000), Pt at (0.500, 0.500, 0.500), Pb at (0.000, 0.000, 0.500) and Br at (0.000, 0.500, 0.000).

As for the density of states at the Fermi level: 1.794 states/eV/cell. The calculation puts the uncorrected formation energy at 0.47 eV per atom. The density comes out at 7.87 g/cm³.


The following is a PBE calculation of a relaxed CdPH crystal, from Alexandria.

It has space group Cc (No. 9), with a = 7.538 Å, b = 4.582 Å, c = 8.055 Å, α = 90.00°, β = 114.03° and γ = 90.00°. Symmetry generates all atoms from Cd at (0.000, 0.072, 0.000), P at (0.148, 0.241, 0.329) and H at (0.028, 0.495, 0.301).

The density comes out at 3.77 g/cm³. The energy above the lowest structure with this stoichiometry comes out at 14.6 meV per atom.


The following is a PBE calculation of a relaxed CrFeBr2 crystal, from Alexandria.

It has space group Immm (No. 71), with a = 3.485 Å, b = 3.914 Å, c = 13.611 Å, α = 90.00°, β = 90.00° and γ = 90.00°. Symmetry generates all atoms from Cr at (0.000, 0.000, 0.000), Fe at (0.000, 0.000, 0.500) and Br at (0.000, 0.500, 0.367).

As for the density of states at the Fermi level: 4.479 states/eV/cell. The calculation puts the uncorrected formation energy at 0.12 eV per atom. The density comes out at 4.79 g/cm³. The energy above the lowest structure with this stoichiometry comes out at 60.1 meV per atom.


The following is a PBE calculation of a relaxed Cs4As crystal, from Alexandria.

It has space group Pm-3m (No. 221), with a = 7.351 Å, b = 7.351 Å, c = 7.351 Å, α = 90.00°, β = 90.00° and γ = 90.00°. Symmetry generates all atoms from Cs at (0.000, 0.000, 0.000), Cs at (0.000, 0.500, 0.500) and As at (0.500, 0.500, 0.500).

As for the density of states at the Fermi level: 6.759 states/eV/cell. The density comes out at 2.54 g/cm³. The energy above the lowest structure with this stoichiometry comes out at 124.2 meV per atom.